Record 1
{"formula": "LiMgCl2", "functional": "GGA-PBE", "state": "optimized geometry", "lattice_angstrom": [[-3.042, 3.042, 5.678], [3.042, -3.042, 5.678], [3.042, 3.042, -5.678]], "species": ["Li", "Li", "Mg", "Mg", "Cl", "Cl", "Cl", "Cl"], "frac_coords": [[0.000, 0.000, 0.000], [0.750, 0.250, 0.500], [0.250, 0.750, 0.500], [0.500, 0.500, 0.000], [0.085, 0.625, 0.960], [0.375, 0.335, 0.460], [0.665, 0.125, 0.040], [0.875, 0.915, 0.540]], "final_energy_ha_per_atom": -0.111, "dos_at_fermi_per_ev_fu": 0.3, "de_polymorph_kj_per_mol_atoms": 8.2, "formation_energy_uncorrected_ev_per_fu": -4.836}

---

Record 2
{"formula": "Ba2CaI", "functional": "GGA-PBE", "state": "optimized geometry", "lattice_angstrom": [[2.216, 1.279, 11.977], [-2.216, 1.279, 11.977], [0.000, -2.558, 11.977]], "species": ["Ba", "Ba", "Ca", "I"], "frac_coords": [[0.000, 0.000, 0.000], [0.188, 0.188, 0.188], [0.761, 0.761, 0.761], [0.594, 0.594, 0.594]], "final_energy_ha_per_atom": -0.089, "dos_at_fermi_per_ev_fu": 5.3, "de_polymorph_kj_per_mol_atoms": 0.0, "formation_energy_uncorrected_ev_per_fu": -2.334}

---

Record 3
{"formula": "Ag2SeBr6", "functional": "GGA-PBE", "state": "optimized geometry", "lattice_angstrom": [[6.984, 0.000, 0.000], [0.000, 6.647, 0.000], [-6.979, 0.000, 11.869]], "species": ["Ag", "Ag", "Ag", "Ag", "Se", "Se", "Br", "Br", "Br", "Br", "Br", "Br", "Br", "Br", "Br", "Br", "Br", "Br"], "frac_coords": [[0.181, 0.002, 0.182], [0.181, 0.498, 0.682], [0.819, 0.502, 0.318], [0.819, 0.998, 0.818], [0.500, 0.000, 0.000], [0.500, 0.500, 0.500], [0.183, 0.727, 0.343], [0.183, 0.773, 0.843], [0.196, 0.227, 0.000], [0.196, 0.273, 0.500], [0.497, 0.725, 0.658], [0.497, 0.775, 0.158], [0.503, 0.225, 0.842], [0.503, 0.275, 0.342], [0.804, 0.727, 0.500], [0.804, 0.773, 0.000], [0.817, 0.227, 0.157], [0.817, 0.273, 0.657]], "final_energy_ha_per_atom": -0.086, "formation_energy_uncorrected_ev_per_fu": -1.815}

---

Record 4
{"formula": "TlHgPb2", "functional": "GGA-PBE", "state": "optimized geometry", "lattice_angstrom": [[0.000, 3.909, 3.909], [3.909, 0.000, 3.909], [3.909, 3.909, 0.000]], "species": ["Tl", "Hg", "Pb", "Pb"], "frac_coords": [[0.000, 0.000, 0.000], [0.750, 0.750, 0.750], [0.250, 0.250, 0.250], [0.500, 0.500, 0.500]], "final_energy_ha_per_atom": -0.092, "dos_at_fermi_per_ev_fu": 2.0}

---

Record 5
{"formula": "LiAg3Hg3", "functional": "GGA-PBE", "state": "optimized geometry", "lattice_angstrom": [[5.353, 0.000, 0.000], [-2.374, 6.617, 0.000], [-0.174, -0.292, 7.730]], "species": ["Li", "Li", "Ag", "Ag", "Ag", "Ag", "Ag", "Ag", "Hg", "Hg", "Hg", "Hg", "Hg", "Hg"], "frac_coords": [[0.158, 0.005, 0.243], [0.842, 0.995, 0.757], [0.121, 0.565, 0.175], [0.309, 0.292, 0.953], [0.421, 0.139, 0.618], [0.579, 0.861, 0.382], [0.691, 0.708, 0.047], [0.879, 0.435, 0.825], [0.026, 0.738, 0.512], [0.243, 0.862, 0.907], [0.471, 0.594, 0.684], [0.529, 0.406, 0.316], [0.757, 0.138, 0.093], [0.974, 0.262, 0.488]], "final_energy_ha_per_atom": -0.062, "dos_at_fermi_per_ev_fu": 2.1, "de_polymorph_kj_per_mol_atoms": 0.0}

---

Record 6
{"formula": "NiBr3", "functional": "GGA-PBE", "state": "optimized geometry", "lattice_angstrom": [[0.000, 3.576, 3.576], [3.576, 0.000, 3.576], [3.576, 3.576, 0.000]], "species": ["Ni", "Br", "Br", "Br"], "frac_coords": [[0.000, 0.000, 0.000], [0.250, 0.250, 0.250], [0.500, 0.500, 0.500], [0.750, 0.750, 0.750]], "final_energy_ha_per_atom": -0.072, "dos_at_fermi_per_ev_fu": 9.1, "formation_energy_uncorrected_ev_per_fu": 2.946}

---

Record 7
{"formula": "RbTmCuI6", "functional": "GGA-PBE", "state": "optimized geometry", "lattice_angstrom": [[7.379, 0.000, 0.000], [-2.843, 6.933, 0.000], [-0.828, -0.889, 8.001]], "species": ["Rb", "Tm", "Cu", "I", "I", "I", "I", "I", "I"], "frac_coords": [[0.000, 0.000, 0.000], [0.394, 0.659, 0.513], [0.774, 0.351, 0.452], [0.044, 0.600, 0.262], [0.082, 0.326, 0.648], [0.425, 0.940, 0.788], [0.471, 0.385, 0.257], [0.656, 0.975, 0.326], [0.697, 0.550, 0.708]], "final_energy_ha_per_atom": -0.111, "dos_at_fermi_per_ev_fu": 2.6, "formation_energy_uncorrected_ev_per_fu": -8.425}

---

Record 8
{"formula": "TlSnPb2", "functional": "GGA-PBE", "state": "optimized geometry", "lattice_angstrom": [[4.062, 0.000, 0.000], [0.000, 4.062, 0.000], [0.000, 0.000, 7.467]], "species": ["Tl", "Sn", "Pb", "Pb"], "frac_coords": [[0.000, 0.000, 0.000], [0.000, 0.000, 0.500], [0.500, 0.500, 0.276], [0.500, 0.500, 0.724]], "final_energy_ha_per_atom": -0.126, "dos_at_fermi_per_ev_fu": 1.8, "de_polymorph_kj_per_mol_atoms": 2.2}

---

Record 9
{"formula": "Ta5Mo4", "functional": "GGA-PBE", "state": "optimized geometry", "lattice_angstrom": [[5.128, -4.872, 0.000], [5.128, 4.872, 0.000], [-0.999, 0.000, 3.068]], "species": ["Ta", "Ta", "Ta", "Ta", "Ta", "Mo", "Mo", "Mo", "Mo"], "frac_coords": [[0.000, 0.000, 0.000], [0.326, 0.326, 0.327], [0.326, 0.674, 0.000], [0.674, 0.326, 0.000], [0.674, 0.674, 0.673], [0.000, 0.337, 0.668], [0.000, 0.663, 0.332], [0.337, 0.000, 0.668], [0.663, 0.000, 0.332]], "final_energy_ha_per_atom": -0.425, "dos_at_fermi_per_ev_fu": 7.9, "de_polymorph_kj_per_mol_atoms": 0.0}

---

Record 10
{"formula": "SmHo2In", "functional": "GGA-PBE", "state": "optimized geometry", "lattice_angstrom": [[0.000, 3.860, 3.860], [3.860, 0.000, 3.860], [3.860, 3.860, 0.000]], "species": ["Sm", "Ho", "Ho", "In"], "frac_coords": [[0.000, 0.000, 0.000], [0.250, 0.250, 0.250], [0.750, 0.750, 0.750], [0.500, 0.500, 0.500]], "final_energy_ha_per_atom": -0.156, "dos_at_fermi_per_ev_fu": 5.8, "de_polymorph_kj_per_mol_atoms": 16.0}

---

Record 11
{"formula": "CoHBr", "functional": "GGA-PBE", "state": "optimized geometry", "lattice_angstrom": [[9.282, 0.000, 0.000], [0.000, 4.561, 0.000], [0.000, 0.000, 4.466]], "species": ["Co", "Co", "Co", "Co", "H", "H", "H", "H", "Br", "Br", "Br", "Br"], "frac_coords": [[0.062, 0.060, 0.250], [0.062, 0.440, 0.750], [0.938, 0.560, 0.250], [0.938, 0.940, 0.750], [0.044, 0.750, 0.000], [0.044, 0.750, 0.500], [0.956, 0.250, 0.000], [0.956, 0.250, 0.500], [0.310, 0.504, 0.750], [0.310, 0.996, 0.250], [0.690, 0.004, 0.750], [0.690, 0.496, 0.250]], "final_energy_ha_per_atom": -0.145, "dos_at_fermi_per_ev_fu": 1.9}

---

Record 12
{"formula": "AcAu3", "functional": "GGA-PBE", "state": "optimized geometry", "lattice_angstrom": [[4.620, 0.000, 0.000], [0.000, 4.620, 0.000], [0.000, 0.000, 4.620]], "species": ["Ac", "Au", "Au", "Au"], "frac_coords": [[0.000, 0.000, 0.000], [0.000, 0.500, 0.500], [0.500, 0.000, 0.500], [0.500, 0.500, 0.000]], "final_energy_ha_per_atom": -0.146, "dos_at_fermi_per_ev_fu": 1.8}

---

Record 13
{"formula": "V4ReGe2", "functional": "GGA-PBE", "state": "optimized geometry", "lattice_angstrom": [[5.780, 0.000, 0.000], [-1.415, 5.610, 0.000], [-2.038, -2.643, 6.192]], "species": ["V", "V", "V", "V", "V", "V", "V", "V", "Re", "Re", "Ge", "Ge", "Ge", "Ge"], "frac_coords": [[0.000, 0.000, 0.000], [0.021, 0.552, 0.905], [0.136, 0.137, 0.693], [0.158, 0.665, 0.614], [0.305, 0.285, 0.415], [0.473, 0.980, 0.080], [0.586, 0.119, 0.789], [0.851, 0.832, 0.278], [0.305, 0.833, 0.347], [0.534, 0.604, 0.847], [0.397, 0.419, 0.100], [0.717, 0.741, 0.593], [0.754, 0.228, 0.497], [0.912, 0.384, 0.197]], "final_energy_ha_per_atom": -0.308, "dos_at_fermi_per_ev_fu": 5.8, "de_polymorph_kj_per_mol_atoms": 0.0}